LaTb2Ag2: optimized geometry, PBE-GGA.

Unit cell a=3.6794 b=5.4089 c=13.8521 alpha=90.00 beta=97.60 gamma=90.00
Closest atoms and distances in Å follow each position.
Atoms (fractional coordinates):
Ag: 0.3577 0.2500 0.7160  4 Tb 3.13-3.19, 4 La 3.27
Ag: 0.6423 0.7500 0.2840  4 Tb 3.13-3.19, 4 La 3.27
Ag: 0.5430 0.2500 0.0857  6 Tb 3.08-3.27, 2 La 3.35
Ag: 0.4570 0.7500 0.9143  6 Tb 3.08-3.27, 2 La 3.35
Tb: 0.0474 0.7500 0.0947  8 Ag 3.08-3.27
Tb: 0.2344 0.7500 0.4682  2 Ag 3.13, 4 Tb 3.38-3.39
Tb: 0.9526 0.2500 0.9053  8 Ag 3.08-3.27
Tb: 0.7656 0.2500 0.5318  2 Ag 3.13, 4 Tb 3.38-3.39
La: 0.8552 0.7500 0.7104  6 Ag 3.27-3.35, 2 Tb 3.65
La: 0.1448 0.2500 0.2896  6 Ag 3.27-3.35, 2 Tb 3.65

ΔE_f	-1.06	eV per formula unit
total moment	0.00	μB/f.u.
density of states at the Fermi level	4.93	states/eV/f.u.
E above lowest polymorph	0.000	eV per atom